Below is a geometry-optimized Ca2NiWO6 structure, with properties calculated at the PBE+U level.

Total moment, μB per atom: 0.197
Theoretical density, g cm⁻³: 5.8
Final energy, eV per atom: -6.718

a b c (Å): 5.454 5.623 9.477
angles (deg): 90.00 124.74 90.00
Fractional coordinates of all 20 atoms:
Ca (0.234, 0.053, 0.247)
Ca (0.234, 0.447, 0.747)
Ca (0.766, 0.553, 0.253)
Ca (0.766, 0.947, 0.753)
Ni (0.000, 0.000, 0.500)
Ni (0.000, 0.500, 0.000)
W (0.500, 0.000, 0.000)
W (0.500, 0.500, 0.500)
O (0.166, 0.195, 0.955)
O (0.166, 0.305, 0.455)
O (0.257, 0.715, 0.948)
O (0.257, 0.785, 0.448)
O (0.353, 0.031, 0.759)
O (0.353, 0.469, 0.259)
O (0.647, 0.531, 0.741)
O (0.647, 0.969, 0.241)
O (0.743, 0.215, 0.552)
O (0.743, 0.285, 0.052)
O (0.834, 0.695, 0.545)
O (0.834, 0.805, 0.045)